No. 1
# Rb3Ba3ReO8, relaxed, DFT PBE
data_Rb3Ba3ReO8
_chemical_formula_sum 'Rb3 Ba3 Re1 O8'
_cell_length_a 7.649
_cell_length_b 7.649
_cell_length_c 7.933
_cell_angle_alpha 118.83
_cell_angle_beta 90.00
_cell_angle_gamma 120.00
_symmetry_space_group_name_H-M 'P 1'
_symmetry_Int_Tables_number 1
_symmetry_space_group_name_Hall 'P 1'
loop_
_atom_site_label
_atom_site_fract_x
_atom_site_fract_y
_atom_site_fract_z
_atom_site_occupancy
Rb1 0.000 0.000 0.000 1
Rb2 0.000 0.500 0.000 1
Rb3 0.500 0.500 0.000 1
Ba1 0.500 0.000 0.500 1
Ba2 0.500 0.500 0.500 1
Ba3 0.000 0.500 0.500 1
Re1 0.000 0.000 0.500 1
O1 0.265 0.530 0.295 1
O2 0.735 0.470 0.705 1
O3 0.825 0.649 0.334 1
O4 0.175 0.351 0.666 1
O5 0.825 0.010 0.334 1
O6 0.175 0.990 0.666 1
O7 0.185 0.010 0.334 1
O8 0.815 0.990 0.666 1
# final energy = -90.60 eV for the cell shown

=====

No. 2
# Rb3Ba2ReO6, relaxed, DFT PBE
data_Rb3Ba2ReO6
_chemical_formula_sum 'Rb3 Ba2 Re1 O6'
_cell_length_a 6.492
_cell_length_b 6.492
_cell_length_c 6.817
_cell_angle_alpha 99.04
_cell_angle_beta 99.04
_cell_angle_gamma 120.22
_symmetry_space_group_name_H-M 'P 1'
_symmetry_Int_Tables_number 1
_symmetry_space_group_name_Hall 'P 1'
loop_
_atom_site_label
_atom_site_fract_x
_atom_site_fract_y
_atom_site_fract_z
_atom_site_occupancy
Rb1 0.157 0.843 0.500 1
Rb2 0.843 0.157 0.500 1
Rb3 0.500 0.500 0.500 1
Ba1 0.333 0.667 0.000 1
Ba2 0.667 0.333 0.000 1
Re1 0.000 0.000 0.000 1
O1 0.940 0.683 0.821 1
O2 0.797 0.797 0.180 1
O3 0.060 0.317 0.179 1
O4 0.683 0.940 0.821 1
O5 0.203 0.203 0.820 1
O6 0.317 0.060 0.179 1
# final energy = -70.13 eV for the cell shown